Entry 1:
# Tb2NdDy, optimized geometry, DFT PBE
# Space-group type = P4/mmm
data_Tb2NdDy
_chemical_formula_sum 'Tb2 Nd1 Dy1'
_space_group_name_H-M_alt 'P 1'
_space_group_IT_number 1
_cell_length_a 3.585
_cell_length_b 3.585
_cell_length_c 10.148
_cell_angle_alpha 90.00
_cell_angle_beta 90.00
_cell_angle_gamma 90.00
loop_
_space_group_symop_operation_xyz
'x,y,z'
loop_
_atom_site_label
_atom_site_fract_x
_atom_site_fract_y
_atom_site_fract_z
Tb1 0.000 0.000 0.245
Tb2 0.000 0.000 0.755
Nd1 0.500 0.500 0.500
Dy1 0.500 0.500 0.000



Entry 2:
# Tb15NdDy4, optimized geometry, DFT PBE
# Space-group type = P4/mmm
data_Tb15NdDy4
_chemical_formula_sum 'Tb15 Nd1 Dy4'
_space_group_name_H-M_alt 'P 1'
_space_group_IT_number 1
_cell_length_a 5.040
_cell_length_b 5.040
_cell_length_c 25.201
_cell_angle_alpha 90.00
_cell_angle_beta 90.00
_cell_angle_gamma 90.00
loop_
_space_group_symop_operation_xyz
'x,y,z'
loop_
_atom_site_label
_atom_site_fract_x
_atom_site_fract_y
_atom_site_fract_z
Tb1 0.000 0.000 0.000
Tb2 0.000 0.000 0.201
Tb3 0.000 0.000 0.400
Tb4 0.000 0.000 0.600
Tb5 0.000 0.000 0.799
Tb6 0.000 0.500 0.101
Tb7 0.000 0.500 0.301
Tb8 0.000 0.500 0.500
Tb9 0.000 0.500 0.699
Tb10 0.000 0.500 0.899
Tb11 0.500 0.000 0.101
Tb12 0.500 0.000 0.301
Tb13 0.500 0.000 0.500
Tb14 0.500 0.000 0.699
Tb15 0.500 0.000 0.899
Nd1 0.500 0.500 0.000
Dy1 0.500 0.500 0.201
Dy2 0.500 0.500 0.400
Dy3 0.500 0.500 0.600
Dy4 0.500 0.500 0.799



no.,energy relative to the elements (eV/atom),calculated volume (A^3/atom)
1,0.0186,32.6
2,0.0169,32.0